# Ce4Zn3Hg2 (PBE, relaxed)
# Volume in Å³/f.u.: 210.5
# Spin magnetization in μB per atom: 0.38
# Total energy in eV per cell: -60.36
data_Ce4Zn3Hg2
_symmetry_space_group_name_H-M 'C 1 2/m 1'
_symmetry_Int_Tables_number 12
_cell_length_a 10.1823
_cell_length_b 4.7683
_cell_length_c 9.2551
_cell_angle_alpha 90.00
_cell_angle_beta 110.46
_cell_angle_gamma 90.00
loop_
_symmetry_equiv_pos_as_xyz
'x,y,z'
'-x,-y,-z'
'-x,y,-z'
'x,-y,z'
'x+1/2,y+1/2,z'
'-x+1/2,-y+1/2,-z'
'-x+1/2,y+1/2,-z'
'x+1/2,-y+1/2,z'
loop_
_atom_site_label
_atom_site_type_symbol
_atom_site_fract_x
_atom_site_fract_y
_atom_site_fract_z
Ce1 Ce 0.0348 0.0000 0.3629
Ce2 Ce 0.1744 0.5000 0.9208
Zn1 Zn 0.0000 0.0000 0.0000
Zn2 Zn 0.1418 0.5000 0.5689
Hg1 Hg 0.1967 0.5000 0.2710